Record 1
Tb7PmPr4: optimized geometry, PBE-GGA.

Cell lengths 6.9265, 8.8972, 9.1797 Å; angles 84.43, 94.92, 47.53 degrees
Fractional coordinates of all 12 atoms:
Tb1 0.7366 0.5122 0.9499
Tb2 0.2634 0.4878 0.0501
Tb3 0.9816 0.3204 0.6410
Tb4 0.0184 0.6796 0.3590
Tb5 0.2917 0.8130 0.6170
Tb6 0.5000 0.0000 0.0000
Tb7 0.7083 0.1870 0.3830
Pm1 0.0000 0.0000 0.0000
Pr1 0.5521 0.6392 0.2838
Pr2 0.4479 0.3608 0.7162
Pr3 0.7748 0.8372 0.6909
Pr4 0.2252 0.1628 0.3091

Results
The calculation puts the total energy at -4.61 eV per atom. As for the crystal system: triclinic. For the density, the calculation gives 7440 kg/m3. The calculation puts the energy relative to the lowest polymorph listed for this composition at 0 meV per atom. Its formation energy is 0.08 eV/atom.

Record 2
TbPm3Pr2: optimized geometry, PBE-GGA.

Cell lengths 6.7005, 3.5003, 12.6063 Å; angles 97.98, 133.89, 90.00 degrees
Fractional coordinates of all 6 atoms:
Tb1 0.0000 0.0000 0.0000
Pm1 0.5000 0.0000 0.0000
Pm2 0.7998 0.8295 0.6590
Pm3 0.2002 0.1705 0.3410
Pr1 0.6711 0.6611 0.3221
Pr2 0.3289 0.3389 0.6779

Results
The calculation puts the total energy at -4.60 eV per atom. As for the crystal system: monoclinic. For the density, the calculation gives 6955 kg/m3. The calculation puts the energy relative to the lowest polymorph listed for this composition at 0 meV per atom. Its formation energy is 0.14 eV/atom.

Record 3
Tb6PmPr10: optimized geometry, PBE-GGA.

Cell lengths 6.9871, 9.9426, 9.9426 Å; angles 120.00, 90.00, 90.00 degrees
Fractional coordinates of all 17 atoms:
Tb1 0.6912 0.3707 0.3707
Tb2 0.6912 0.0000 0.6293
Tb3 0.6912 0.6293 0.0000
Tb4 0.3088 0.6293 0.6293
Tb5 0.3088 0.0000 0.3707
Tb6 0.3088 0.3707 0.0000
Pm1 0.5000 0.0000 0.0000
Pr1 0.8171 0.7249 0.7249
Pr2 0.8171 0.0000 0.2751
Pr3 0.8171 0.2751 0.0000
Pr4 0.1829 0.2751 0.2751
Pr5 0.1829 0.0000 0.7249
Pr6 0.1829 0.7249 0.0000
Pr7 0.5000 0.3333 0.6667
Pr8 0.5000 0.6667 0.3333
Pr9 0.0000 0.6667 0.3333
Pr10 0.0000 0.3333 0.6667

Results
The calculation puts the total energy at -4.60 eV per atom. As for the crystal system: trigonal. For the density, the calculation gives 6961 kg/m3. Its formation energy is 0.13 eV/atom.

Record 4
TbPmPr: optimized geometry, PBE-GGA.

Cell lengths 3.6475, 3.6475, 8.1415 Å; angles 102.94, 102.94, 90.00 degrees
Fractional coordinates of all 3 atoms:
Pr1 0.0012 0.0012 0.0025
Tb1 0.6676 0.6676 0.3351
Pm1 0.3312 0.3312 0.6624

Results
The calculation puts the total energy at -4.70 eV per atom. As for the crystal system: tetragonal. For the density, the calculation gives 7190 kg/m3. The calculation puts the energy relative to the lowest polymorph listed for this composition at 5 meV per atom. Its formation energy is 0.02 eV/atom.

Record 5
Tb3Pm5Pr3: optimized geometry, PBE-GGA.

Cell lengths 5.6282, 9.7274, 9.7274 Å; angles 120.00, 90.00, 90.00 degrees
Fractional coordinates of all 11 atoms:
Tb1 0.5000 0.7428 0.0000
Tb2 0.5000 0.2572 0.2572
Tb3 0.5000 0.0000 0.7428
Pm1 0.5000 0.6667 0.3333
Pm2 0.5000 0.3333 0.6667
Pm3 0.5000 0.3756 0.0000
Pm4 0.5000 0.6244 0.6244
Pm5 0.5000 0.0000 0.3756
Pr1 0.0000 0.5884 0.0000
Pr2 0.0000 0.0000 0.5884
Pr3 0.0000 0.4116 0.4116

Results
The calculation puts the total energy at -3.99 eV per atom. As for the crystal system: hexagonal. For the density, the calculation gives 5849 kg/m3. The calculation puts the energy relative to the lowest polymorph listed for this composition at 0 meV per atom. Its formation energy is 0.73 eV/atom.

Record 6
Tb3PmPr: optimized geometry, PBE-GGA.

Cell lengths 3.5865, 8.7697, 11.5504 Å; angles 109.56, 98.93, 90.00 degrees
Fractional coordinates of all 10 atoms:
Tb1 0.0312 0.8237 0.0625
Tb2 0.9688 0.1763 0.9375
Tb3 0.3226 0.0637 0.6452
Tb4 0.6774 0.9363 0.3548
Tb5 0.2267 0.6467 0.4533
Tb6 0.7733 0.3533 0.5467
Pm1 0.8684 0.7703 0.7367
Pm2 0.1316 0.2297 0.2633
Pr1 0.5789 0.5237 0.1579
Pr2 0.4211 0.4763 0.8421

Results
The calculation puts the total energy at -4.61 eV per atom. As for the crystal system: monoclinic. For the density, the calculation gives 7502 kg/m3. The calculation puts the energy relative to the lowest polymorph listed for this composition at 0 meV per atom. Its formation energy is 0.07 eV/atom.

Record 7
TbPm3Pr3: optimized geometry, PBE-GGA.

Cell lengths 9.0259, 9.0259, 9.0259 Å; angles 58.56, 58.56, 58.56 degrees
Fractional coordinates of all 14 atoms:
Tb1 0.3460 0.3460 0.3460
Tb2 0.6540 0.6540 0.6540
Pm1 0.7213 0.5682 0.0686
Pm2 0.0686 0.7213 0.5682
Pm3 0.5682 0.0686 0.7213
Pm4 0.4318 0.9314 0.2787
Pm5 0.9314 0.2787 0.4318
Pm6 0.2787 0.4318 0.9314
Pr1 0.7039 0.1825 0.9377
Pr2 0.1825 0.9377 0.7039
Pr3 0.9377 0.7039 0.1825
Pr4 0.0623 0.2961 0.8175
Pr5 0.8175 0.0623 0.2961
Pr6 0.2961 0.8175 0.0623

Results
The calculation puts the total energy at -4.52 eV per atom. As for the crystal system: trigonal. For the density, the calculation gives 6715 kg/m3. The calculation puts the energy relative to the lowest polymorph listed for this composition at 193 meV per atom. Its formation energy is 0.22 eV/atom.

Record 8
Tb6PmPr12: optimized geometry, PBE-GGA.

Cell lengths 8.7637, 8.7637, 8.7637 Å; angles 88.96, 88.96, 88.96 degrees
Fractional coordinates of all 19 atoms:
Tb1 0.7410 0.9011 0.2976
Tb2 0.7024 0.2590 0.0989
Tb3 0.0989 0.7024 0.2590
Tb4 0.2590 0.0989 0.7024
Tb5 0.2976 0.7410 0.9011
Tb6 0.9011 0.2976 0.7410
Pm1 0.0000 0.0000 0.0000
Pr1 0.7817 0.5356 0.4331
Pr2 0.4331 0.7817 0.5356
Pr3 0.5356 0.4331 0.7817
Pr4 0.2183 0.4644 0.5669
Pr5 0.5669 0.2183 0.4644
Pr6 0.4644 0.5669 0.2183
Pr7 0.0183 0.1944 0.3629
Pr8 0.8056 0.6371 0.9817
Pr9 0.6371 0.9817 0.8056
Pr10 0.9817 0.8056 0.6371
Pr11 0.1944 0.3629 0.0183
Pr12 0.3629 0.0183 0.1944

Results
The calculation puts the total energy at -4.60 eV per atom. As for the crystal system: trigonal. For the density, the calculation gives 6885 kg/m3. The calculation puts the energy relative to the lowest polymorph listed for this composition at 0 meV per atom. Its formation energy is 0.13 eV/atom.

Record 9
Tb6Pm2Pr3: optimized geometry, PBE-GGA.

Cell lengths 6.2299, 6.2457, 11.7525 Å; angles 84.84, 79.62, 60.08 degrees
Fractional coordinates of all 11 atoms:
Tb1 0.4177 0.6670 0.7473
Tb2 0.7506 0.0000 0.7480
Tb3 0.0847 0.3330 0.7473
Tb4 0.2494 0.0000 0.2520
Tb5 0.5823 0.3330 0.2527
Tb6 0.9153 0.6670 0.2527
Pm1 0.1661 0.6678 0.5000
Pm2 0.8339 0.3322 0.5000
Pr1 0.0000 0.0000 0.0000
Pr2 0.3356 0.3287 0.0000
Pr3 0.6644 0.6713 0.0000

Results
The calculation puts the total energy at -4.50 eV per atom. As for the crystal system: monoclinic. For the density, the calculation gives 7097 kg/m3. The calculation puts the energy relative to the lowest polymorph listed for this composition at 0 meV per atom. Its formation energy is 0.19 eV/atom.

Record 10
TbPm7Pr3: optimized geometry, PBE-GGA.

Cell lengths 8.8364, 7.2418, 7.2418 Å; angles 120.00, 90.00, 90.00 degrees
Fractional coordinates of all 11 atoms:
Tb1 0.4427 0.3333 0.6667
Pm1 0.1178 0.1672 0.8328
Pm2 0.1178 0.1672 0.3345
Pm3 0.1235 0.6667 0.3333
Pm4 0.4494 0.8330 0.1670
Pm5 0.4494 0.3341 0.1670
Pm6 0.4494 0.8330 0.6659
Pm7 0.1178 0.6655 0.8328
Pr1 0.7825 0.4997 0.5003
Pr2 0.7825 0.4997 0.9995
Pr3 0.7825 0.0005 0.5003

Results
The calculation puts the total energy at -4.58 eV per atom. As for the crystal system: trigonal. For the density, the calculation gives 6606 kg/m3. The calculation puts the energy relative to the lowest polymorph listed for this composition at 0 meV per atom. Its formation energy is 0.16 eV/atom.

Record 11
TbPmPr2: optimized geometry, PBE-GGA.

Cell lengths 3.5945, 5.7076, 7.0018 Å; angles 90.00, 104.87, 90.00 degrees
Fractional coordinates of all 4 atoms:
Tb1 0.4450 0.0000 0.8900
Pm1 0.8068 0.5000 0.6136
Pr1 0.0611 0.5000 0.1222
Pr2 0.1871 0.0000 0.3742

Results
The calculation puts the total energy at -4.68 eV per atom. As for the crystal system: orthorhombic. For the density, the calculation gives 7006 kg/m3. The calculation puts the energy relative to the lowest polymorph listed for this composition at 43 meV per atom. Its formation energy is 0.05 eV/atom.

Record 12
Tb12Pm5Pr2: optimized geometry, PBE-GGA.

Cell lengths 6.4935, 14.4726, 12.0620 Å; angles 139.65, 76.97, 117.89 degrees
Fractional coordinates of all 19 atoms:
Tb1 0.1189 0.2101 0.3986
Tb2 0.0327 0.6312 0.9919
Tb3 0.6732 0.8156 0.1467
Tb4 0.1993 0.5667 0.4255
Tb5 0.6158 0.5781 0.1961
Tb6 0.5332 0.9768 0.7792
Tb7 0.4668 0.0232 0.2208
Tb8 0.8007 0.4333 0.5745
Tb9 0.3842 0.4219 0.8039
Tb10 0.9673 0.3688 0.0081
Tb11 0.3268 0.1844 0.8533
Tb12 0.8811 0.7899 0.6014
Pm1 0.4475 0.6605 0.7508
Pm2 0.3114 0.7981 0.3863
Pm3 0.0000 0.0000 0.5000
Pm4 0.6886 0.2019 0.6137
Pm5 0.5525 0.3395 0.2492
Pr1 0.9335 0.1486 0.0896
Pr2 0.0665 0.8514 0.9104

Results
The calculation puts the total energy at -4.60 eV per atom. As for the crystal system: triclinic. For the density, the calculation gives 7664 kg/m3. The calculation puts the energy relative to the lowest polymorph listed for this composition at 0 meV per atom. Its formation energy is 0.08 eV/atom.

Record 13
TbPm7Pr4: optimized geometry, PBE-GGA.

Cell lengths 7.3802, 6.3848, 11.7546 Å; angles 79.56, 51.06, 90.01 degrees
Fractional coordinates of all 12 atoms:
Tb1 0.0000 0.0000 0.0000
Pm1 0.7526 0.4997 0.9994
Pm2 0.2474 0.5003 0.0006
Pm3 0.0819 0.2766 0.6703
Pm4 0.9181 0.7234 0.3297
Pm5 0.3310 0.7784 0.6689
Pm6 0.5000 0.0000 0.0000
Pm7 0.6690 0.2216 0.3311
Pr1 0.4218 0.7229 0.3302
Pr2 0.5782 0.2771 0.6698
Pr3 0.8319 0.7755 0.6685
Pr4 0.1681 0.2245 0.3315

Results
The calculation puts the total energy at -4.74 eV per atom. As for the crystal system: triclinic. For the density, the calculation gives 6887 kg/m3. The calculation puts the energy relative to the lowest polymorph listed for this composition at 0 meV per atom. Its formation energy is 0.01 eV/atom.

Record 14
Tb2Pm2Pr: optimized geometry, PBE-GGA.

Cell lengths 3.8306, 9.4766, 9.4766 Å; angles 90.00, 90.00, 90.00 degrees
Fractional coordinates of all 10 atoms:
Tb1 0.5000 0.1697 0.6697
Tb2 0.5000 0.6697 0.8303
Tb3 0.5000 0.8303 0.3303
Tb4 0.5000 0.3303 0.1697
Pm1 0.0000 0.3720 0.8720
Pm2 0.0000 0.8720 0.6280
Pm3 0.0000 0.6280 0.1280
Pm4 0.0000 0.1280 0.3720
Pr1 0.0000 0.0000 0.0000
Pr2 0.0000 0.5000 0.5000

Results
The calculation puts the total energy at -4.62 eV per atom. As for the crystal system: tetragonal. For the density, the calculation gives 7228 kg/m3. The calculation puts the energy relative to the lowest polymorph listed for this composition at 42 meV per atom. Its formation energy is 0.09 eV/atom.

Record 15
Tb7Pm3Pr: optimized geometry, PBE-GGA.

Cell lengths 8.9623, 10.0661, 5.5905 Å; angles 90.01, 128.52, 105.54 degrees
Fractional coordinates of all 11 atoms:
Tb1 0.9180 0.8302 0.9180
Tb2 0.8210 0.6396 0.3211
Tb3 0.6452 0.2883 0.1451
Tb4 0.3548 0.7117 0.8549
Tb5 0.5000 0.0000 0.5000
Tb6 0.1790 0.3604 0.6789
Tb7 0.0820 0.1698 0.0820
Pm1 0.2181 0.0009 0.7186
Pm2 0.0000 0.5000 0.0000
Pm3 0.7819 0.9991 0.2814
Pr1 0.5000 0.5000 0.5000

Results
The calculation puts the total energy at -4.54 eV per atom. As for the crystal system: triclinic. For the density, the calculation gives 7563 kg/m3. The calculation puts the energy relative to the lowest polymorph listed for this composition at 0 meV per atom. Its formation energy is 0.14 eV/atom.

Record 16
TbPm3Pr6: optimized geometry, PBE-GGA.

Cell lengths 7.0104, 9.2010, 6.7484 Å; angles 103.96, 121.29, 90.00 degrees
Fractional coordinates of all 10 atoms:
Tb1 0.5000 0.5000 0.0000
Pm1 0.9233 0.3325 0.8467
Pm2 0.0767 0.6675 0.1533
Pm3 0.0000 0.0000 0.0000
Pr1 0.4252 0.3003 0.3776
Pr2 0.0477 0.6997 0.6224
Pr3 0.5748 0.6997 0.6224
Pr4 0.9523 0.3003 0.3776
Pr5 0.3749 0.0815 0.7498
Pr6 0.6251 0.9185 0.2502

Results
The calculation puts the total energy at -4.55 eV per atom. As for the crystal system: monoclinic. For the density, the calculation gives 6698 kg/m3. The calculation puts the energy relative to the lowest polymorph listed for this composition at 74 meV per atom. Its formation energy is 0.20 eV/atom.

Record 17
Tb5Pm2Pr5: optimized geometry, PBE-GGA.

Cell lengths 5.1394, 8.1377, 10.9373 Å; angles 72.78, 76.41, 71.59 degrees
Fractional coordinates of all 12 atoms:
Tb1 0.5000 0.5000 0.5000
Tb2 0.3328 0.3338 0.0005
Tb3 0.4178 0.9155 0.2489
Tb4 0.5822 0.0845 0.7511
Tb5 0.6672 0.6662 0.9995
Pm1 0.9170 0.4142 0.7518
Pm2 0.0830 0.5858 0.2482
Pr1 0.8351 0.8310 0.4987
Pr2 0.2496 0.7485 0.7522
Pr3 0.7504 0.2515 0.2478
Pr4 0.1649 0.1690 0.5013
Pr5 0.0000 0.0000 0.0000

Results
The calculation puts the total energy at -4.70 eV per atom. As for the crystal system: monoclinic. For the density, the calculation gives 7255 kg/m3. Its formation energy is 0.02 eV/atom.

Record 18
Tb4Pm4Pr5: optimized geometry, PBE-GGA.

Cell lengths 5.1429, 9.6693, 9.6693 Å; angles 85.94, 74.58, 74.58 degrees
Fractional coordinates of all 13 atoms:
Tb1 0.7677 0.3869 0.0777
Tb2 0.2323 0.6131 0.9223
Tb3 0.8454 0.9223 0.3869
Tb4 0.1546 0.0777 0.6131
Pm1 0.9233 0.4608 0.6925
Pm2 0.6158 0.3075 0.4608
Pm3 0.0767 0.5392 0.3075
Pm4 0.3842 0.6925 0.5392
Pr1 0.6933 0.8465 0.7669
Pr2 0.3067 0.1535 0.2331
Pr3 0.0000 0.0000 0.0000
Pr4 0.5398 0.7669 0.1535
Pr5 0.4602 0.2331 0.8465

Results
The calculation puts the total energy at -4.71 eV per atom. As for the crystal system: tetragonal. For the density, the calculation gives 7136 kg/m3. Its formation energy is 0.02 eV/atom.

Record 19
Tb6PmPr: optimized geometry, PBE-GGA.

Cell lengths 5.0783, 5.0783, 10.1489 Å; angles 90.00, 90.00, 90.00 degrees
Fractional coordinates of all 8 atoms:
Tb1 0.5000 0.5000 0.0000
Tb2 0.5000 0.5000 0.5000
Tb3 0.5000 0.0000 0.2511
Tb4 0.5000 0.0000 0.7489
Tb5 0.0000 0.5000 0.2511
Tb6 0.0000 0.5000 0.7489
Pm1 0.0000 0.0000 0.5000
Pr1 0.0000 0.0000 0.0000

Results
The calculation puts the total energy at -4.65 eV per atom. As for the crystal system: tetragonal. For the density, the calculation gives 7864 kg/m3. The calculation puts the energy relative to the lowest polymorph listed for this composition at 0 meV per atom. Its formation energy is 0.02 eV/atom.

Record 20
TbPm3Pr: optimized geometry, PBE-GGA.

Cell lengths 3.6820, 8.6850, 11.3808 Å; angles 74.46, 99.31, 90.00 degrees
Fractional coordinates of all 10 atoms:
Tb1 0.7820 0.8199 0.5641
Tb2 0.2180 0.1801 0.4359
Pm1 0.0168 0.7850 0.0336
Pm2 0.9832 0.2150 0.9664
Pm3 0.3820 0.0180 0.7639
Pm4 0.6180 0.9820 0.2361
Pm5 0.1843 0.6163 0.3686
Pm6 0.8157 0.3837 0.6314
Pr1 0.5848 0.4120 0.1696
Pr2 0.4152 0.5880 0.8304

Results
The calculation puts the total energy at -4.70 eV per atom. As for the crystal system: monoclinic. For the density, the calculation gives 7060 kg/m3. The calculation puts the energy relative to the lowest polymorph listed for this composition at 0 meV per atom. Its formation energy is 0.03 eV/atom.